No. 1
Sc4S2N: optimized geometry, PBE.

## Properties
* mass density: 3.40 g/cm3
* formation energy (no corrections): -1.572 eV/atom
* DFT total energy: -0.5555 Ry/atom
* space group: No. 65
* D(E_F): 0.287 states/eV per atom

```
7
Lattice="-0.4183 -3.3861 0.7559 -1.0408 -1.2005 -5.9538 6.0481 -0.5095 1.0644" Properties=species:S:1:pos:R:3 pbc="T T T"
Sc 0.5341 -1.0470 -4.3945
S 2.8149 -1.9478 0.9102
Sc 0.8645 -2.0597 -0.6704
S -0.7295 -2.2933 -2.5989
Sc 4.4731 -0.6630 -0.4948
Sc 3.7245 -3.0364 -3.4631
N 0.0000 0.0000 0.0000
```

=====

No. 2
BaZrCu: optimized geometry, PBE.

## Properties
* mass density: 5.82 g/cm3
* DFT total energy: -0.3372 Ry/atom
* space group: No. 107
* D(E_F): 1.106 states/eV per atom
* offset from the most stable computed form: 0.000 eV/atom

```
3
Lattice="7.0030 -0.0055 0.0058 6.0947 3.4498 0.0261 0.9083 0.2202 3.4484" Properties=species:S:1:pos:R:3 pbc="T T T"
Ba 12.9414 3.4030 0.0757
Zr 9.6439 2.5308 1.0000
Cu 4.5184 1.1751 2.4365
```

=====

No. 3
GaCo2N: optimized geometry, PBE.

## Properties
* mass density: 7.73 g/cm3
* formation energy (no corrections): 0.838 eV/atom
* DFT total energy: -0.4082 Ry/atom
* space group: No. 225
* D(E_F): 1.120 states/eV per atom

```
4
Lattice="-1.3192 -3.5372 1.1364 -2.4913 -0.2908 3.0417 -3.7641 -0.9934 -0.6229" Properties=species:S:1:pos:R:3 pbc="T T T"
Ga -3.7873 -2.4107 1.7776
N 0.0000 0.0000 0.0000
Co -5.6810 -3.6161 2.6664
Co -1.8937 -1.2054 0.8888
```

=====

No. 4
Na2Cd3In3: optimized geometry, PBE.

## Properties
* mass density: 5.76 g/cm3
* DFT total energy: -0.1279 Ry/atom
* space group: No. 155
* D(E_F): 0.607 states/eV per atom

```
8
Lattice="5.9643 -0.3642 0.3579 -0.3575 5.9647 0.3579 0.3646 0.3642 5.9639" Properties=species:S:1:pos:R:3 pbc="T T T"
In 0.0020 1.8119 1.8098
Cd 1.0680 4.9021 3.3398
Na 1.7842 1.7822 4.5427
In 4.5170 0.0000 4.5119
Cd 4.9055 2.9823 5.2575
In 1.4523 4.1528 0.3579
Cd 2.9835 1.0625 1.4222
Na 4.1872 4.1825 2.1370
```

=====

No. 5
SrLaPr2: optimized geometry, PBE.

## Properties
* mass density: 5.37 g/cm3
* DFT total energy: -0.2873 Ry/atom
* space group: No. 123
* D(E_F): 1.838 states/eV per atom
* offset from the most stable computed form: 0.061 eV/atom

```
4
Lattice="-2.8205 4.3325 1.6316 -4.4779 -2.9822 0.1779 1.0397 -1.2552 5.1304" Properties=species:S:1:pos:R:3 pbc="T T T"
Sr -1.4103 2.1662 0.8158
Pr 0.5199 -0.6276 2.5652
Pr -2.2390 -1.4911 0.0889
La -3.1294 0.0475 3.4699
```

=====

No. 6
Al2CoBr: optimized geometry, PBE.

## Properties
* mass density: 3.77 g/cm3
* formation energy (no corrections): -0.043 eV/atom
* DFT total energy: -0.3020 Ry/atom
* space group: No. 44
* D(E_F): 0.499 states/eV per atom
* offset from the most stable computed form: 0.169 eV/atom

```
4
Lattice="-4.8399 -5.5956 -4.1492 -1.2503 -7.9744 -2.6070 1.7119 6.4714 5.2097" Properties=species:S:1:pos:R:3 pbc="T T T"
Co -0.9605 -3.4059 -0.0202
Al -0.5071 -1.1299 -0.5626
Al -3.0252 -2.8179 -1.0907
Br -2.9306 -6.5298 -3.2511
```

=====

No. 7
Sm2ThNpAs4: optimized geometry, PBE.

## Properties
* mass density: 8.46 g/cm3
* DFT total energy: -0.5396 Ry/atom
* space group: No. 10
* D(E_F): 1.616 states/eV per atom

```
8
Lattice="-2.5630 -1.3190 3.0560 0.1790 -6.7272 -2.7534 5.3827 0.7810 4.8515" Properties=species:S:1:pos:R:3 pbc="T T T"
Sm 2.7809 -2.9731 1.0491
Np 0.0000 0.0000 0.0000
As 0.0803 -2.1090 2.0445
Th -1.1920 -4.0231 0.1513
As 1.4721 -4.8742 -0.8691
As 2.9184 -5.1562 3.1096
As 4.0897 -1.0720 2.9673
Sm 1.4099 -0.2690 3.9538
```

=====

No. 8
Zr7Pb2: optimized geometry, PBE.

## Properties
* mass density: 8.34 g/cm3
* DFT total energy: -0.5574 Ry/atom
* space group: No. 164
* D(E_F): 0.993 states/eV per atom

```
9
Lattice="5.0978 0.0000 0.0000 -2.5489 4.4148 0.0000 0.0000 0.0000 9.3163" Properties=species:S:1:pos:R:3 pbc="T T T"
Zr 0.0000 0.0000 6.1939
Zr 0.0000 2.9432 4.9259
Pb 0.0000 2.9432 7.9971
Pb 2.5489 1.4716 1.3192
Zr 0.0000 2.9432 1.8262
Zr 0.0000 0.0000 3.1225
Zr 0.0000 0.0000 0.0000
Zr 2.5489 1.4716 4.3905
Zr 2.5489 1.4716 7.4901
```

=====

No. 9
Pr2ErPd4: optimized geometry, PBE.

## Properties
* mass density: 7.61 g/cm3
* DFT total energy: -0.3896 Ry/atom
* space group: No. 69
* D(E_F): 0.460 states/eV per atom

```
7
Lattice="-0.2622 4.9774 -1.2244 1.5686 0.6112 -4.8485 -7.8489 -3.7765 0.5847" Properties=species:S:1:pos:R:3 pbc="T T T"
Pd -4.0040 2.1586 -4.6233
Pr -1.3066 2.5268 -3.7042
Er 0.0000 0.0000 0.0000
Pd 0.7843 0.3056 -2.4243
Pd -2.5385 -0.3465 -0.8649
Pd -0.1311 2.4887 -0.6122
Pr -5.2359 -0.7147 -1.7840
```

=====

No. 10
ErScZn2: optimized geometry, PBE.

## Properties
* mass density: 6.96 g/cm3
* DFT total energy: -0.2728 Ry/atom
* space group: No. 225
* D(E_F): 1.012 states/eV per atom

```
4
Lattice="4.8733 0.0000 0.0000 2.4366 4.2203 0.0000 2.4366 1.4068 3.9789" Properties=species:S:1:pos:R:3 pbc="T T T"
Er 7.3099 4.2203 2.9842
Zn 4.8733 5.6271 3.9789
Sc 2.4366 1.4068 0.9947
Zn 4.8733 2.8136 1.9895
```

=====

No. 11
MgAlW2: optimized geometry, PBE.

## Properties
* mass density: 10.36 g/cm3
* DFT total energy: -0.5626 Ry/atom
* space group: No. 35
* D(E_F): 0.641 states/eV per atom
* offset from the most stable computed form: 0.004 eV/atom

```
4
Lattice="2.7909 -0.0018 0.0000 -0.9388 2.6282 0.0000 0.0000 0.0000 9.1571" Properties=species:S:1:pos:R:3 pbc="T T T"
W 0.9260 1.3132 2.2909
Mg 0.9260 1.3132 6.8902
W 0.0000 0.0000 0.1096
Al 0.0000 0.0000 4.4450
```

=====

No. 12
PaCuHgI6: optimized geometry, PBE.

## Properties
* mass density: 4.60 g/cm3
* formation energy (no corrections): -0.596 eV/atom
* DFT total energy: -0.2333 Ry/atom
* space group: No. 163

```
18
Lattice="7.2992 0.0000 0.0000 -3.6496 6.3213 0.0000 0.0000 0.0000 19.6774" Properties=species:S:1:pos:R:3 pbc="T T T"
I 1.3034 2.1714 16.4686
I -1.2288 2.2145 3.2087
Hg 0.0000 0.0000 9.8387
I 5.9958 2.1714 13.0474
I 2.3462 4.1499 3.2087
I 1.1174 6.2782 6.6300
I 1.2288 2.2145 6.6300
Pa 0.0000 4.2142 14.7580
I -1.1174 6.2782 3.2087
I -2.3462 4.1499 6.6300
Cu 0.0000 4.2142 4.9193
Cu 3.6496 2.1071 14.7580
Hg 0.0000 0.0000 0.0000
I 4.7670 0.0431 16.4686
Pa 3.6496 2.1071 4.9193
I 2.4208 4.1068 13.0474
I 2.5322 0.0431 13.0474
I 4.8784 4.1068 16.4686
```

=====

| no. | M_tot (μB per cell) |
| --- | --- |
| 1 | 0.00 |
| 2 | 0.35 |
| 3 | 3.29 |
| 4 | 0.00 |
| 5 | 0.00 |
| 6 | 0.31 |
| 7 | 4.02 |
| 8 | 0.00 |
| 9 | 0.00 |
| 10 | 0.00 |
| 11 | 0.00 |
| 12 | 0.00 |